The following is a DFT calculation (PBE-GGA) of a relaxed Li2OsPt crystal.

Cell and atoms, written as POSCAR:
```
Li2OsPt
1.0
-2.0783 4.1144 -1.4888
-3.8097 2.1914 -2.0368
-2.4873 1.1407 3.8553
Li Pt Os
2 1 1
direct
0.7524 0.7524 0.7955
0.9869 0.9869 0.9571
0.2530 0.2530 0.3055
0.5077 0.5077 0.4418
```

Summary:
Polymorph energy (0 for the lowest one) in meV/atom: 165
Energy in eV per cell: -21.42
ΔH_f (0 K) in kJ/mol of formula units: -31

The following is a DFT calculation (PBE-GGA) of a relaxed LiOsPt2 crystal.

Cell and atoms, written as POSCAR:
```
LiOsPt2
1.0
-3.0336 -5.2217 -1.0832
4.4194 -0.0183 1.7195
-0.8520 -1.3488 2.1734
Pt Li Os
2 1 1
direct
0.5000 0.0000 0.5000
0.0000 0.0000 0.0000
0.0000 0.5000 0.5000
0.5000 0.5000 0.0000
```

Summary:
Polymorph energy (0 for the lowest one) in meV/atom: 0
Energy in eV per cell: -26.18
ΔH_f (0 K) in kJ/mol of formula units: -92

The following is a DFT calculation (PBE-GGA) of a relaxed Li2OsPt crystal.

Cell and atoms, written as POSCAR:
```
Li2OsPt
1.0
-3.2998 2.5735 0.4856
-1.6970 -1.6449 -2.8141
-1.5294 -2.3998 2.3251
Os Li Pt
1 2 1
direct
0.5000 0.5000 0.0000
0.0000 0.5000 0.5000
0.0000 0.0000 0.0000
0.5000 0.0000 0.5000
```

Summary:
Polymorph energy (0 for the lowest one) in meV/atom: 376
Energy in eV per cell: -20.58
ΔH_f (0 K) in kJ/mol of formula units: 50

The following is a DFT calculation (PBE-GGA) of a relaxed LiOsPt2 crystal.

Cell and atoms, written as POSCAR:
```
LiOsPt2
1.0
-9.0311 1.2099 -1.1673
-8.7787 -1.1979 -2.4263
-9.1156 -1.1020 0.2799
Pt Os Li
2 1 1
direct
0.9982 0.9982 0.9982
0.5018 0.5018 0.5018
0.7500 0.7500 0.7500
0.2500 0.2500 0.2500
```

Summary:
Polymorph energy (0 for the lowest one) in meV/atom: 106
Energy in eV per cell: -25.76
ΔH_f (0 K) in kJ/mol of formula units: -52

The following is a DFT calculation (PBE-GGA) of a relaxed LiOs2Pt crystal.

Cell and atoms, written as POSCAR:
```
LiOs2Pt
1.0
-1.7785 -1.0802 -1.6748
1.2027 -1.5882 1.7793
-6.8698 1.7245 6.1827
Os Li Pt
2 1 1
direct
0.0000 0.0000 0.9952
0.0000 0.0000 0.5048
0.5000 0.5000 0.7500
0.5000 0.5000 0.2500
```

Summary:
Polymorph energy (0 for the lowest one) in meV/atom: 394
Energy in eV per cell: -28.79
ΔH_f (0 K) in kJ/mol of formula units: 157

The following is a DFT calculation (PBE-GGA) of a relaxed LiOs2Pt crystal.

Cell and atoms, written as POSCAR:
```
LiOs2Pt
1.0
4.8973 0.0016 0.0000
-2.2789 4.3347 0.0000
0.0000 0.0000 2.6843
Li Pt Os
1 1 2
direct
0.0000 0.5000 0.5000
0.5000 0.0000 0.5000
0.5000 0.5000 0.0000
0.0000 0.0000 0.0000
```

Summary:
Polymorph energy (0 for the lowest one) in meV/atom: 226
Energy in eV per cell: -29.46
ΔH_f (0 K) in kJ/mol of formula units: 92

The following is a DFT calculation (PBE-GGA) of a relaxed LiOs2Pt crystal.

Cell and atoms, written as POSCAR:
```
LiOs2Pt
1.0
-2.7228 0.4554 -0.5261
-0.4433 -2.7731 -0.1058
-1.3335 -0.0486 6.8595
Pt Li Os
1 1 2
direct
0.0000 0.0000 0.5218
0.5000 0.5000 0.7462
0.0000 0.0000 0.9973
0.5000 0.5000 0.2346
```

Summary:
Polymorph energy (0 for the lowest one) in meV/atom: 44
Energy in eV per cell: -30.19
ΔH_f (0 K) in kJ/mol of formula units: 21

The following is a DFT calculation (PBE-GGA) of a relaxed Li2OsPt crystal.

Cell and atoms, written as POSCAR:
```
Li2OsPt
1.0
4.3810 0.0000 0.0000
0.0000 4.3810 0.0000
0.0000 0.0000 2.6529
Pt Li Os
1 2 1
direct
0.0000 0.5000 0.5000
0.5000 0.5000 0.0000
0.0000 0.0000 0.0000
0.5000 0.0000 0.5000
```

Summary:
Polymorph energy (0 for the lowest one) in meV/atom: 428
Energy in eV per cell: -20.37
ΔH_f (0 K) in kJ/mol of formula units: 71

> Which formula does entry 8 have?

Li2OsPt

> What is the polymorph energy (0 for the lowest one) in the fifth record?

394 meV/atom